# GdYO2

A relaxed structure of GdYO2 (PBE, the Open Quantum Materials Database).

abc: 3.416 3.416 4.831
angles: 90.00 90.00 90.00
Positions (direct):
Gd 0.000 0.000 0.000
Y 0.500 0.500 0.500
O 0.000 0.000 0.500
O 0.500 0.500 0.000

Output
space-group type = P4/mmm
crystal system = tetragonal
uncorrected energy = -0.5904 Ry per atom